# PrTmSi4Os2 | OQMD via LeMat-Bulk | PBE-GGA | optimized geometry
# Total moment in μB/f.u.: 0.0
# Calculated density in Mg/m³: 9.07
# Uncorrected energy in eV/cell: -59.09
data_PrTmSi4Os2
_cell_length_a 4.459
_cell_length_b 4.118
_cell_length_c 8.186
_cell_angle_alpha 90.00
_cell_angle_beta 102.05
_cell_angle_gamma 90.00
_symmetry_space_group_name_H-M 'P 1 m 1'
_symmetry_Int_Tables_number 6
loop_
_symmetry_equiv_pos_as_xyz
'x,y,z'
'x,-y,z'
loop_
_atom_site_label
_atom_site_fract_x
_atom_site_fract_y
_atom_site_fract_z
_atom_site_occupancy
Pr1 0.000 0.000 0.000 1
Tm1 0.820 0.500 0.595 1
Si1 0.083 0.500 0.301 1
Si2 0.379 0.000 0.712 1
Si3 0.454 0.500 0.892 1
Si4 0.753 0.000 0.311 1
Os1 0.303 0.000 0.420 1
Os2 0.536 0.500 0.190 1